A plane-wave DFT calculation with PBE was carried out for TlSbTe2I after structural relaxation.

Cell and atoms, written as POSCAR:
```
TlSbTe2I
1.0
-2.0892 1.4017 -5.3895
5.2589 -1.3969 -2.4019
-1.8228 -5.5812 -0.7450
Tl Te I Sb
1 2 1 1
Cartesian
0.6735 -2.7882 -4.2682
-1.0446 0.7009 -2.6947
2.6294 -0.6985 -1.2009
0.0000 0.0000 0.0000
-0.9114 -2.7906 -0.3725
```

Values from the calculation:
E_tot: -2.239 eV per atom
E_form (uncorrected): 0.63 eV/atom
space-group type: P4/mmm (123)
energy above the lowest structure with this stoichiometry: 0.596 eV/atom